[1]
Entry from the Alexandria database: a geometry-optimized BaBW3 structure (PBEsol).

extended XYZ file:
```
5
Lattice="4.4369 0.0000 0.0000 0.0000 4.4369 0.0000 0.0000 0.0000 4.4369" Properties=species:S:1:pos:R:3 pbc="T T T"
Ba 0.0000 0.0000 0.0000
B 2.2184 2.2184 2.2184
W 0.0000 2.2184 2.2184
W 2.2184 0.0000 2.2184
W 2.2184 2.2184 0.0000
```

Results
DOS(E_F) (states/eV/cell): 5.7

---

[2]
Entry from the Alexandria database: a geometry-optimized BaYB3 structure (PBEsol).

extended XYZ file:
```
5
Lattice="4.7719 0.0000 0.0000 0.0000 4.7719 0.0000 0.0000 0.0000 4.7719" Properties=species:S:1:pos:R:3 pbc="T T T"
Ba 0.0000 0.0000 0.0000
Y 2.3860 2.3860 2.3860
B 0.0000 2.3860 2.3860
B 2.3860 0.0000 2.3860
B 2.3860 2.3860 0.0000
```

Results
DOS(E_F) (states/eV/cell): 7.2

---

The following mass density values (in g/cm3) correspond, in order, to the records above: 13.30 3.95.
The following final energy values (in eV per atom) correspond, in order, to the records above: -8.840 -4.611.
The following ΔH_f (0 K) values (in meV/atom) correspond, in order, to the records above: 1277 1393.